Crystalline Er3U2Ru4 at its relaxed geometry, computed with PBE.

Summary:
D(E_F) (states/eV/cell): 10.686
Calculated formation energy (meV per atom): -386
Symmetry: C2/m, No. 12
Magnetization (Bohr magnetons per cell): 1.50

a b c (Å): 4.194 5.792 8.817
angles (deg): 99.84 90.00 111.22
Positions (direct):
Er 0.375 0.750 0.613
Er 0.000 0.000 0.000
Er 0.625 0.250 0.387
U 0.326 0.653 0.221
U 0.674 0.347 0.779
Ru 0.716 0.432 0.093
Ru 0.092 0.184 0.635
Ru 0.908 0.816 0.365
Ru 0.284 0.568 0.907



Crystalline Er5U2Ru5 at its relaxed geometry, computed with PBE.

Summary:
D(E_F) (states/eV/cell): 15.890
Calculated formation energy (meV per atom): -256
Symmetry: P-1, No. 2
Magnetization (Bohr magnetons per cell): 1.45

a b c (Å): 5.294 5.312 12.054
angles (deg): 76.78 76.81 53.82
Positions (direct):
Er 0.500 0.500 0.500
Er 0.325 0.324 0.048
Er 0.236 0.235 0.344
Er 0.764 0.765 0.656
Er 0.675 0.676 0.952
U 0.012 0.019 0.785
U 0.988 0.981 0.215
Ru 0.873 0.871 0.416
Ru 0.274 0.272 0.800
Ru 0.726 0.728 0.200
Ru 0.127 0.129 0.584
Ru 0.000 0.000 0.000



Crystalline Er2U3Ru4 at its relaxed geometry, computed with PBE.

Summary:
D(E_F) (states/eV/cell): 23.804
Calculated formation energy (meV per atom): -71
Symmetry: Ibam, No. 72
Magnetization (Bohr magnetons per cell): 2.57

a b c (Å): 12.015 8.403 8.403
angles (deg): 65.10 44.37 44.37
Positions (direct):
Er 0.726 0.537 0.463
Er 0.774 0.037 0.963
Er 0.226 0.963 0.037
Er 0.274 0.463 0.537
U 0.250 0.610 0.890
U 0.250 0.890 0.610
U 0.750 0.110 0.390
U 0.750 0.750 0.750
U 0.750 0.390 0.110
U 0.250 0.250 0.250
Ru 0.541 0.998 0.625
Ru 0.041 0.125 0.498
Ru 0.663 0.502 0.875
Ru 0.459 0.002 0.375
Ru 0.959 0.875 0.502
Ru 0.337 0.498 0.125
Ru 0.163 0.375 0.002
Ru 0.837 0.625 0.998



Crystalline Er2URu2 at its relaxed geometry, computed with PBE.

Summary:
D(E_F) (states/eV/cell): 15.727
Calculated formation energy (meV per atom): -398
Symmetry: C2/c, No. 15
Magnetization (Bohr magnetons per cell): 1.91

a b c (Å): 5.786 5.786 7.711
angles (deg): 81.07 81.07 60.67
Positions (direct):
Er 0.480 0.217 0.151
Er 0.783 0.520 0.349
Er 0.520 0.783 0.849
Er 0.217 0.480 0.651
U 0.149 0.851 0.250
U 0.851 0.149 0.750
Ru 0.743 0.007 0.514
Ru 0.993 0.257 0.986
Ru 0.257 0.993 0.486
Ru 0.007 0.743 0.014



Crystalline ErURu2 at its relaxed geometry, computed with PBE.

Summary:
D(E_F) (states/eV/cell): 4.836
Calculated formation energy (meV per atom): -370
Symmetry: P4/mmm, No. 123
Magnetization (Bohr magnetons per cell): 1.19

a b c (Å): 3.388 3.388 6.767
angles (deg): 90.00 90.00 90.00
Positions (direct):
Ru 0.000 0.000 0.777
Ru 0.000 0.000 0.223
U 0.500 0.500 0.000
Er 0.500 0.500 0.500



Crystalline ErURu at its relaxed geometry, computed with PBE.

Summary:
D(E_F) (states/eV/cell): 4.998
Calculated formation energy (meV per atom): 34
Symmetry: P3m1, No. 156
Magnetization (Bohr magnetons per cell): 0.54

a b c (Å): 3.564 3.564 6.338
angles (deg): 90.00 90.00 120.00
Positions (direct):
Ru 0.333 0.667 0.632
U 0.667 0.333 0.395
Er 0.000 0.000 0.974



Crystalline ErURu4 at its relaxed geometry, computed with PBE.

Summary:
D(E_F) (states/eV/cell): 11.387
Calculated formation energy (meV per atom): -182
Symmetry: F-43m, No. 216
Magnetization (Bohr magnetons per cell): 1.67

a b c (Å): 5.303 5.303 5.303
angles (deg): 60.00 60.00 60.00
Positions (direct):
Ru 0.625 0.625 0.125
Ru 0.625 0.125 0.625
Ru 0.625 0.625 0.625
Ru 0.125 0.625 0.625
U 0.250 0.250 0.250
Er 0.000 0.000 0.000



Crystalline ErURu3 at its relaxed geometry, computed with PBE.

Summary:
D(E_F) (states/eV/cell): 11.097
Calculated formation energy (meV per atom): -262
Symmetry: P1, No. 1
Magnetization (Bohr magnetons per cell): 0.00

a b c (Å): 4.504 5.384 7.984
angles (deg): 90.04 79.39 89.99
Positions (direct):
Er 0.373 0.607 0.946
Er 0.654 0.106 0.440
U 0.844 0.095 0.992
U 0.182 0.594 0.393
Ru 0.543 0.620 0.580
Ru 0.817 0.594 0.210
Ru 0.016 0.362 0.670
Ru 0.007 0.861 0.717
Ru 0.481 0.121 0.805
Ru 0.210 0.096 0.175